# Pa4AlGa5 | the Alexandria database | GGA-PBE | optimized geometry
data_Pa4AlGa5
_cell_length_a 4.7624
_cell_length_b 4.7624
_cell_length_c 33.0182
_cell_angle_alpha 90.00
_cell_angle_beta 90.00
_cell_angle_gamma 120.00
_space_group_name_H-M_alt 'R -3 m'
_space_group_IT_number 166
_space_group_name_Hall '-R 3 2"'
loop_
_atom_site_label
_atom_site_type_symbol
_atom_site_fract_x
_atom_site_fract_y
_atom_site_fract_z
Pa1 Pa 0.0000 0.0000 0.1090
Pa2 Pa 0.0000 0.0000 0.2979
Al1 Al 0.0000 0.0000 0.5000
Ga1 Ga 0.0000 0.0000 0.0000
Ga2 Ga 0.0000 0.0000 0.1984
Ga3 Ga 0.0000 0.0000 0.4023
# **Energy of formation**: -137 meV per atom

=====

Here is a geometry-optimized TiSiNiOs structure from the Alexandria database. Energies are from GGA-PBE.

Structure (CIF):
```
data_TiSiNiOs
_cell_length_a 5.955
_cell_length_b 5.955
_cell_length_c 5.955
_cell_angle_alpha 90.00
_cell_angle_beta 90.00
_cell_angle_gamma 90.00
_space_group_name_H-M_alt 'F -4 3 m'
_space_group_IT_number 216
_space_group_name_Hall 'F -4 2 3'
loop_
_atom_site_label
_atom_site_type_symbol
_atom_site_fract_x
_atom_site_fract_y
_atom_site_fract_z
Ti1 Ti 0.000 0.000 0.000
Si1 Si 0.000 0.000 0.500
Ni1 Ni 0.250 0.250 0.250
Os1 Os 0.250 0.250 0.750
```

=====

# ThPaV | the Alexandria database | GGA-PBE | optimized geometry
data_ThPaV
_cell_length_a 5.925
_cell_length_b 3.361
_cell_length_c 14.257
_cell_angle_alpha 90.00
_cell_angle_beta 90.00
_cell_angle_gamma 90.00
_space_group_name_H-M_alt 'P n m a'
_space_group_IT_number 62
_space_group_name_Hall '-P 2ac 2n'
loop_
_atom_site_label
_atom_site_type_symbol
_atom_site_fract_x
_atom_site_fract_y
_atom_site_fract_z
Th1 Th 0.086 0.250 0.190
Pa1 Pa 0.087 0.750 0.397
V1 V 0.147 0.750 0.017
# **Energy of formation**: 235 meV per atom

=====

# Tb2AgGe4Pd3 | the Alexandria database | GGA-PBE | optimized geometry
data_Tb2AgGe4Pd3
_cell_length_a 4.263
_cell_length_b 4.263
_cell_length_c 10.502
_cell_angle_alpha 90.00
_cell_angle_beta 90.00
_cell_angle_gamma 90.00
_space_group_name_H-M_alt 'P -4 m 2'
_space_group_IT_number 115
_space_group_name_Hall 'P -4 -2'
loop_
_atom_site_label
_atom_site_type_symbol
_atom_site_fract_x
_atom_site_fract_y
_atom_site_fract_z
Tb1 Tb 0.000 0.500 0.249
Ag1 Ag 0.500 0.500 0.000
Ge1 Ge 0.000 0.000 0.500
Ge2 Ge 0.000 0.500 0.859
Ge3 Ge 0.500 0.500 0.500
Pd1 Pd 0.000 0.000 0.000
Pd2 Pd 0.000 0.500 0.628
# **Energy of formation**: -667 meV per atom

=====

no.,calculated total energy (eV per cell)
1,-174.7
2,-129.5
3,-101.3
4,-52.8